Entry 1:
# TaVW2 (GGA-PBE, relaxed)
data_TaVW2
_cell_length_a 2.9523
_cell_length_b 4.4895
_cell_length_c 10.4397
_cell_angle_alpha 90.00
_cell_angle_beta 90.00
_cell_angle_gamma 90.00
_space_group_name_H-M_alt 'I m m m'
_space_group_IT_number 71
_space_group_name_Hall '-I 2 2'
loop_
_atom_site_label
_atom_site_type_symbol
_atom_site_fract_x
_atom_site_fract_y
_atom_site_fract_z
Ta1 Ta 0.0000 0.0000 0.0000
V1 V 0.0000 0.0000 0.5000
W1 W 0.0000 0.0000 0.2600
# Distance to the lowest polymorph of the same formula, meV/atom: 872
# Energy of formation, eV per atom: 0.81

Entry 2:
# Rb2BeZn (GGA-PBE, relaxed)
data_Rb2BeZn
_cell_length_a 8.6315
_cell_length_b 8.6315
_cell_length_c 8.6315
_cell_angle_alpha 90.00
_cell_angle_beta 90.00
_cell_angle_gamma 90.00
_space_group_name_H-M_alt 'F m -3 m'
_space_group_IT_number 225
_space_group_name_Hall '-F 4 2 3'
loop_
_atom_site_label
_atom_site_type_symbol
_atom_site_fract_x
_atom_site_fract_y
_atom_site_fract_z
Rb1 Rb 0.2500 0.2500 0.2500
Be1 Be 0.0000 0.0000 0.0000
Zn1 Zn 0.0000 0.0000 0.5000
# Distance to the lowest polymorph of the same formula, meV/atom: 0
# Energy of formation, eV per atom: 0.75

Entry 3:
# BaCaMg2Rh (GGA-PBE, relaxed)
data_BaCaMg2Rh
_cell_length_a 5.2830
_cell_length_b 5.2830
_cell_length_c 5.3667
_cell_angle_alpha 90.00
_cell_angle_beta 90.00
_cell_angle_gamma 90.00
_space_group_name_H-M_alt 'P 4/m m m'
_space_group_IT_number 123
_space_group_name_Hall '-P 4 2'
loop_
_atom_site_label
_atom_site_type_symbol
_atom_site_fract_x
_atom_site_fract_y
_atom_site_fract_z
Ba1 Ba 0.0000 0.0000 0.0000
Ca1 Ca 0.5000 0.5000 0.0000
Mg1 Mg 0.0000 0.5000 0.5000
Rh1 Rh 0.5000 0.5000 0.5000
# Distance to the lowest polymorph of the same formula, meV/atom: 0
# Energy of formation, eV per atom: -0.24

Entry 4:
# Nd12BiRu6 (GGA-PBE, relaxed)
data_Nd12BiRu6
_cell_length_a 10.2174
_cell_length_b 10.2174
_cell_length_c 10.2174
_cell_angle_alpha 90.00
_cell_angle_beta 90.00
_cell_angle_gamma 90.00
_space_group_name_H-M_alt 'I m -3'
_space_group_IT_number 204
_space_group_name_Hall '-I 2 2 3'
loop_
_atom_site_label
_atom_site_type_symbol
_atom_site_fract_x
_atom_site_fract_y
_atom_site_fract_z
Nd1 Nd 0.0000 0.3004 0.1961
Bi1 Bi 0.0000 0.0000 0.0000
Ru1 Ru 0.0000 0.1200 0.5000
# Energy of formation, eV per atom: -0.23

Taking the records one at a time from the top gives E values of -87.27, -15.77, -15.65, -242.09 eV for the cell shown.